1.
This record from Alexandria via LeMat-Bulk describes a relaxed SnGe2Au6 crystal. The functional is GGA-PBE.

Unit cell a=4.0138 b=5.8328 c=8.6651 alpha=75.97 beta=90.00 gamma=110.13
Last column: nearest neighbours and their distance in Å.
Fractional coordinates of all 9 atoms:
Sn (0.0000, 0.0000, 0.5000)  6 Au 2.85-2.91
Ge (0.3679, 0.7358, 0.8760)  6 Au 2.62-2.87
Ge (0.6321, 0.2642, 0.1240)  6 Au 2.62-2.87
Au (0.0286, 0.0571, 0.8243)  2 Ge 2.63, 2 Au 2.83, 1 Sn 2.91
Au (0.2872, 0.5745, 0.1879)  3 Ge 2.62-2.78, 4 Au 2.83-2.89
Au (0.7128, 0.4255, 0.8121)  3 Ge 2.62-2.78, 4 Au 2.83-2.89
Au (0.3083, 0.6167, 0.5720)  4 Au 2.84-2.89, 2 Sn 2.85, 1 Ge 2.87
Au (0.6917, 0.3833, 0.4280)  4 Au 2.84-2.89, 2 Sn 2.85, 1 Ge 2.87
Au (0.9714, 0.9429, 0.1757)  2 Ge 2.63, 2 Au 2.83, 1 Sn 2.91

Values from the calculation:
SG ... No. 12
Energy relative to the elements ... 0.011 eV/atom
E_tot ... -3.645 eV per atom
Crystal system ... monoclinic



2.
This record from Alexandria via LeMat-Bulk describes a relaxed Ge3Pb2Au8 crystal. The functional is GGA-PBE.

Unit cell a=6.5460 b=6.9729 c=7.7759 alpha=71.17 beta=65.11 gamma=62.01
Last column: nearest neighbours and their distance in Å.
Fractional coordinates of all 13 atoms:
Ge (0.0000, 0.5000, 0.5000)  8 Au 2.70-2.77
Ge (0.2705, 0.0000, 0.0000)  6 Au 2.65-2.89
Ge (0.7295, 0.0000, 0.0000)  6 Au 2.65-2.89
Pb (0.6565, 0.4396, 0.2474)  5 Au 2.85-3.09
Pb (0.3435, 0.5604, 0.7526)  5 Au 2.85-3.09
Au (0.2761, 0.2169, 0.2309)  3 Ge 2.72-2.77, 3 Au 2.89-2.93
Au (0.7239, 0.7831, 0.7691)  3 Ge 2.72-2.77, 3 Au 2.89-2.93
Au (0.9066, 0.3111, 0.8756)  3 Ge 2.65-2.72, 1 Pb 2.85, 3 Au 2.89-2.90
Au (0.0934, 0.6889, 0.1244)  3 Ge 2.65-2.72, 1 Pb 2.85, 3 Au 2.89-2.90
Au (0.8304, 0.1804, 0.5971)  2 Ge 2.70-2.89, 4 Au 2.82-2.93
Au (0.3921, 0.1804, 0.5971)  2 Ge 2.70-2.89, 4 Au 2.82-2.93
Au (0.6079, 0.8196, 0.4029)  2 Ge 2.70-2.89, 4 Au 2.82-2.93
Au (0.1696, 0.8196, 0.4029)  2 Ge 2.70-2.89, 4 Au 2.82-2.93

Values from the calculation:
SG ... No. 12
Energy relative to the elements ... 0.009 eV/atom
E_tot ... -3.643 eV per atom
Crystal system ... monoclinic



3.
This record from Alexandria via LeMat-Bulk describes a relaxed Cs2RbRuO4 crystal. The functional is GGA-PBE.

Unit cell a=6.3975 b=6.3975 c=6.3975 alpha=98.27 beta=115.35 gamma=115.35
Last column: nearest neighbours and their distance in Å.
Fractional coordinates of all 8 atoms:
Cs (0.5000, 0.7500, 0.2500)  4 O 2.93
Cs (0.0000, 0.0000, 0.0000)  4 O 3.26
Rb (0.5000, 0.2500, 0.7500)  4 O 2.77
Ru (0.0000, 0.5000, 0.5000)  4 O 1.85
O (0.6533, 0.4097, 0.4293)  1 Ru 1.85
O (0.0197, 0.2436, 0.5903)  1 Ru 1.85
O (0.9803, 0.5707, 0.2240)  1 Ru 1.85
O (0.3467, 0.7760, 0.7564)  1 Ru 1.85

Values from the calculation:
SG ... No. 82
Formation energy from raw total energies ... -1242 meV per atom
E_tot ... -5.215 eV per atom
Crystal system ... tetragonal



4.
This record from Alexandria via LeMat-Bulk describes a relaxed K2ZrMn crystal. The functional is GGA-PBE.

Unit cell a=4.8839 b=4.8839 c=10.5140 alpha=78.07 beta=78.07 gamma=38.76
Last column: nearest neighbours and their distance in Å.
Fractional coordinates of all 4 atoms:
K (0.9987, 0.9987, 0.0764)  2 K 3.24, 2 Mn 3.48
K (0.8499, 0.8499, 0.6736)  2 K 3.24, 2 Mn 3.48
Mn (0.4623, 0.4623, 0.3750)  3 Zr 2.52-2.64
Zr (0.1891, 0.1891, 0.3750)  3 Mn 2.52-2.64

Values from the calculation:
SG ... No. 8
Relative energy among the computed polymorphs ... 158 meV per atom
Energy relative to the elements ... 0.723 eV/atom
E_tot ... -4.255 eV per atom
Crystal system ... monoclinic



5.
This record from Alexandria via LeMat-Bulk describes a relaxed Na2Hg2Cl7 crystal. The functional is GGA-PBE.

Unit cell a=6.6471 b=7.5029 c=7.5029 alpha=111.94 beta=94.13 gamma=94.13
Last column: nearest neighbours and their distance in Å.
Fractional coordinates of all 11 atoms:
Na (0.0000, 0.3085, 0.6915)  6 Cl 2.81-2.96
Na (0.0000, 0.6915, 0.3085)  6 Cl 2.81-2.96
Hg (0.3443, 0.2706, 0.2706)  4 Cl 2.46-2.72
Hg (0.6557, 0.7294, 0.7294)  4 Cl 2.46-2.72
Cl (0.7651, 0.9431, 0.5660)  1 Hg 2.46
Cl (0.2349, 0.4340, 0.0569)  1 Hg 2.46
Cl (0.2349, 0.0569, 0.4340)  1 Hg 2.46
Cl (0.7651, 0.5660, 0.9431)  1 Hg 2.46
Cl (0.5000, 0.0000, 0.0000)  2 Hg 2.62
Cl (0.2582, 0.5784, 0.5784)  2 Hg 2.72-2.78, 2 Na 2.96
Cl (0.7418, 0.4216, 0.4216)  2 Hg 2.72-2.78, 2 Na 2.96

Values from the calculation:
SG ... No. 12
Formation energy from raw total energies ... -885 meV per atom
E_tot ... -2.355 eV per atom
Crystal system ... monoclinic



6.
This record from Alexandria via LeMat-Bulk describes a relaxed NaHoZn17 crystal. The functional is GGA-PBE.

Unit cell a=6.8072 b=6.8072 c=6.8072 alpha=82.77 beta=82.77 gamma=82.77
Last column: nearest neighbours and their distance in Å.
Fractional coordinates of all 19 atoms:
Na (0.3415, 0.3415, 0.3415)  19 Zn 3.15-3.51
Ho (0.6639, 0.6639, 0.6639)  19 Zn 3.11-3.46
Zn (0.2985, 0.0014, 0.6993)  8 Zn 2.59-2.76
Zn (0.6993, 0.2985, 0.0014)  8 Zn 2.59-2.76
Zn (0.0014, 0.6993, 0.2985)  8 Zn 2.59-2.76
Zn (0.2985, 0.6993, 0.0014)  8 Zn 2.59-2.76
Zn (0.0014, 0.2985, 0.6993)  8 Zn 2.59-2.76
Zn (0.6993, 0.0014, 0.2985)  8 Zn 2.59-2.76
Zn (0.3528, 0.8365, 0.3528)  8 Zn 2.56-2.76
Zn (0.3528, 0.3528, 0.8365)  8 Zn 2.56-2.76
Zn (0.8365, 0.3528, 0.3528)  8 Zn 2.56-2.76
Zn (0.6494, 0.1595, 0.6494)  9 Zn 2.56-2.85
Zn (0.6494, 0.6494, 0.1595)  9 Zn 2.56-2.85
Zn (0.1595, 0.6494, 0.6494)  9 Zn 2.56-2.85
Zn (0.9968, 0.5017, 0.9968)  10 Zn 2.59-2.76
Zn (0.9968, 0.9968, 0.5017)  10 Zn 2.59-2.76
Zn (0.5017, 0.9968, 0.9968)  10 Zn 2.59-2.76
Zn (0.8995, 0.8995, 0.8995)  7 Zn 2.66-2.85
Zn (0.1013, 0.1013, 0.1013)  7 Zn 2.66-2.88

Values from the calculation:
SG ... No. 160
Energy relative to the elements ... -0.127 eV/atom
E_tot ... -1.577 eV per atom
Crystal system ... trigonal



- Look up the E_tot of the second one.
  -3.643 eV per atom



- What is the E_tot in the second record?
  -3.643 eV per atom



- The highest E_tot belongs to which entry?
  NaHoZn17